*A*
The following is a PBE calculation of a relaxed structure of Ac3Mg2Cu4, from Alexandria.

Values from the calculation:
**Volume**: 225.4 Å³/f.u.
**SG**: No. 12
**D(E_F)**: 0.746 states/eV per atom

Cell: 4.4676 5.9482 9.2181 Å, 96.31 90.00 112.06°
With the nearest neighbours (Å) after each atom.
Atoms (fractional coordinates):
Ac (0.3730, 0.7459, 0.6221)  6 Cu 3.17-3.32, 1 Mg 3.50
Ac (0.0000, 0.0000, 0.0000)  6 Cu 3.13-3.38
Ac (0.6270, 0.2541, 0.3779)  6 Cu 3.17-3.32, 1 Mg 3.50
Mg (0.3229, 0.6457, 0.2175)  5 Cu 2.66-2.77
Mg (0.6771, 0.3543, 0.7825)  5 Cu 2.66-2.77
Cu (0.7299, 0.4597, 0.0716)  2 Cu 2.66, 3 Mg 2.66-2.74
Cu (0.0806, 0.1611, 0.6324)  2 Mg 2.77, 1 Cu 2.84
Cu (0.9194, 0.8389, 0.3676)  2 Mg 2.77, 1 Cu 2.84
Cu (0.2701, 0.5403, 0.9284)  2 Cu 2.66, 3 Mg 2.66-2.74

*B*
The following is a PBE calculation of a relaxed structure of Ac3Mg2Cu4, from Alexandria.

Values from the calculation:
**Volume**: 226.1 Å³/f.u.
**SG**: No. 12
**D(E_F)**: 0.640 states/eV per atom

Cell: 4.4533 6.4678 9.1509 Å, 112.41 90.00 110.14°
With the nearest neighbours (Å) after each atom.
Atoms (fractional coordinates):
Ac (0.6259, 0.2519, 0.7026)  7 Cu 3.01-3.25
Ac (0.0000, 0.0000, 0.0000)  8 Cu 3.39-3.61, 4 Mg 3.77
Ac (0.3741, 0.7481, 0.2974)  7 Cu 3.01-3.25
Mg (0.6763, 0.3526, 0.3495)  4 Cu 2.74-2.92
Mg (0.3237, 0.6474, 0.6505)  4 Cu 2.74-2.92
Cu (0.7252, 0.4505, 0.0624)  2 Cu 2.68, 1 Mg 2.92
Cu (0.2748, 0.5495, 0.9376)  2 Cu 2.68, 1 Mg 2.92
Cu (0.9212, 0.8424, 0.5756)  3 Mg 2.74-2.85, 1 Cu 2.78
Cu (0.0788, 0.1576, 0.4244)  3 Mg 2.74-2.85, 1 Cu 2.78

What should be chosen as the least stable of them? Choose *B*.

*A*
The following is a PBE calculation of a relaxed structure of TaTcNi2, from Alexandria.

Values from the calculation:
**Volume**: 54.6 Å³/f.u.
**SG**: No. 99
**D(E_F)**: 1.142 states/eV per atom

Cell: 3.1589 3.1579 5.4775 Å, 90.00 90.00 90.00°
With the nearest neighbours (Å) after each atom.
Atoms (fractional coordinates):
Ni (0.0000, 0.0000, 0.0064)  4 Ni 2.56, 4 Tc 2.58, 2 Ta 2.63-2.85
Ni (0.5000, 0.5000, 0.2363)  1 Tc 2.55, 4 Ni 2.56, 4 Ta 2.62
Ta (0.0000, 0.0000, 0.4859)  6 Ni 2.62-2.85, 4 Tc 2.73
Tc (0.5000, 0.5000, 0.7715)  5 Ni 2.55-2.58, 4 Ta 2.73

*B*
The following is a PBE calculation of a relaxed structure of TaTcNi2, from Alexandria.

Values from the calculation:
**Volume**: 55.9 Å³/f.u.
**SG**: No. 160
**D(E_F)**: 1.537 states/eV per atom

Cell: 8.8221 8.8221 8.8221 Å, 17.77 17.77 17.77°
With the nearest neighbours (Å) after each atom.
Atoms (fractional coordinates):
Ni (0.9980, 0.9980, 0.9980)  9 Ni 2.54-2.73, 3 Tc 2.57
Ni (0.2548, 0.2548, 0.2548)  9 Ni 2.54-2.73, 3 Ta 2.69
Ta (0.5045, 0.5045, 0.5045)  3 Ni 2.69, 6 Ta 2.73, 3 Tc 2.93
Tc (0.7427, 0.7427, 0.7427)  3 Ni 2.57, 6 Tc 2.73

What should be chosen as the least stable of them? Choose *B*.

*A*
The following is a PBE calculation of a relaxed structure of ScInCl2, from Alexandria.

Values from the calculation:
**Volume**: 92.3 Å³/f.u.
**SG**: No. 12
**D(E_F)**: 0.369 states/eV per atom

Cell: 5.7369 5.7369 3.5265 Å, 71.25 71.25 108.10°
With the nearest neighbours (Å) after each atom.
Atoms (fractional coordinates):
Sc (0.0000, 0.5000, 0.5000)  4 Cl 2.84
Cl (0.0000, 0.0000, 0.0000)  2 Sc 2.84, 2 In 2.84
Cl (0.5000, 0.5000, 0.0000)  2 In 2.84, 2 Sc 2.84
In (0.5000, 0.0000, 0.5000)  4 Cl 2.84

*B*
The following is a PBE calculation of a relaxed structure of ScInCl2, from Alexandria.

Values from the calculation:
**Volume**: 93.2 Å³/f.u.
**SG**: No. 65
**D(E_F)**: 0.555 states/eV per atom

Cell: 5.3514 5.3514 3.3806 Å, 90.00 90.00 105.76°
With the nearest neighbours (Å) after each atom.
Atoms (fractional coordinates):
Sc (0.0000, 0.5000, 0.5000)  8 Cl 3.16, 2 In 3.23, 2 Sc 3.38
Cl (0.0000, 0.0000, 0.0000)  4 Sc 3.16, 4 In 3.16, 4 Cl 3.23-3.38
Cl (0.5000, 0.5000, 0.0000)  4 In 3.16, 4 Sc 3.16, 4 Cl 3.23-3.38
In (0.5000, 0.0000, 0.5000)  8 Cl 3.16, 2 Sc 3.23, 2 In 3.38

What should be chosen as the least stable of them? Choose *B*.

*A*
The following is a PBE calculation of a relaxed structure of PrBiF, from Alexandria.

Values from the calculation:
**Volume**: 75.6 Å³/f.u.
**SG**: No. 187
**D(E_F)**: 0.368 states/eV per atom

Cell: 5.0474 4.1592 4.1592 Å, 120.00 90.00 90.00°
With the nearest neighbours (Å) after each atom.
Atoms (fractional coordinates):
Pr (0.1668, 0.0000, 0.0000)  3 F 2.40
Bi (0.6668, 0.6667, 0.3333)  6 F 3.48, 6 Pr 3.48
F (0.1664, 0.3333, 0.6667)  3 Pr 2.40

*B*
The following is a PBE calculation of a relaxed structure of PrBiF, from Alexandria.

Values from the calculation:
**Volume**: 73.1 Å³/f.u.
**SG**: No. 107
**D(E_F)**: 0.296 states/eV per atom

Cell: 3.4898 3.4898 6.4930 Å, 105.59 105.59 90.00°
With the nearest neighbours (Å) after each atom.
Atoms (fractional coordinates):
Pr (0.7177, 0.7177, 0.4353)  4 F 2.56
Bi (0.0066, 0.0066, 0.0133)  1 F 3.23, 5 Pr 3.47-3.54, 4 Bi 3.49
F (0.2757, 0.2757, 0.5514)  4 Pr 2.56

What should be chosen as the least stable of them? Choose *B*.